# 1
Compound: BaSr4P
Source: Alexandria via LeMat-Bulk
Functional: SCAN
Structure: single point on PBEsol structure

For the magnetic moment, the calculation gives 2.57 μB per formula unit. For the energy relative to the elements, the calculation gives 0.438 eV/atom.

abc: 7.263 7.263 7.263
angles: 60.00 60.00 60.00
Each line ends with the local moment (μB).
Positions (direct):
1 Sr 0.374 0.374 0.878  0.11
2 Sr 0.374 0.374 0.374  0.11
3 P 0.000 0.000 0.000  0.07
4 Sr 0.374 0.878 0.374  0.11
5 Sr 0.878 0.374 0.374  0.11
6 Ba 0.750 0.750 0.750  0.21

# 2
Compound: CoTc2W
Source: Alexandria via LeMat-Bulk
Functional: SCAN
Structure: single point on PBEsol structure

For the magnetic moment, the calculation gives 1.71 μB per formula unit. For the energy relative to the elements, the calculation gives 0.232 eV/atom. The energy relative to the lowest polymorph listed for this composition comes out at 137 meV/atom.

abc: 2.694 2.694 8.813
angles: 81.21 81.21 60.00
Each line ends with the local moment (μB).
Positions (direct):
1 W 0.504 0.504 0.487  -0.03
2 Tc 0.998 0.998 0.005  0.10
3 Co 0.251 0.251 0.247  1.68
4 Tc 0.746 0.746 0.761  -0.02

# 3
Compound: Sc5Fe
Source: Alexandria via LeMat-Bulk
Functional: SCAN
Structure: single point on PBEsol structure

For the magnetic moment, the calculation gives 0.00 μB per formula unit. For the energy relative to the elements, the calculation gives 0.004 eV/atom. The energy relative to the lowest polymorph listed for this composition comes out at 0 meV/atom.

abc: 3.201 5.716 7.578
angles: 110.99 90.00 106.26
Positions (direct):
1 Sc 0.164 0.328 0.783
2 Sc 0.836 0.672 0.217
3 Sc 0.132 0.264 0.370
4 Sc 0.868 0.736 0.630
5 Fe 0.500 0.000 0.500
6 Sc 0.500 0.000 0.000

# 4
Compound: LaScCo2
Source: Alexandria via LeMat-Bulk
Functional: SCAN
Structure: single point on PBEsol structure

For the magnetic moment, the calculation gives 0.11 μB per formula unit. For the energy relative to the elements, the calculation gives -0.007 eV/atom. The energy relative to the lowest polymorph listed for this composition comes out at 50 meV/atom.

abc: 3.856 3.856 6.900
angles: 73.77 73.77 60.00
Each line ends with the local moment (μB).
Positions (direct):
1 Sc 0.294 0.294 0.119  -0.10
2 La 0.468 0.468 0.596  -0.07
3 Co 0.036 0.036 0.892  0.24
4 Co 0.702 0.702 0.893  0.22

Final energy: -22.7367; -39.0461; -14.8819; -22.9945 (eV/atom)